i | Entry from the Open Quantum Materials Database: a geometry-optimized CdHgAsO structure (PBE).

Cell and atoms, written as CIF:
```
data_CdHgAsO
_chemical_formula_sum 'Cd2 Hg2 As2 O2'
_cell_length_a 3.401
_cell_length_b 7.422
_cell_length_c 6.795
_cell_angle_alpha 90.00
_cell_angle_beta 90.00
_cell_angle_gamma 90.00
_symmetry_space_group_name_H-M 'P m c 21'
_symmetry_Int_Tables_number 26
loop_
_symmetry_equiv_pos_as_xyz
'x,y,z'
'-x,-y,z+1/2'
'-x,y,z'
'x,-y,z+1/2'
loop_
_atom_site_label
_atom_site_type_symbol
_atom_site_fract_x
_atom_site_fract_y
_atom_site_fract_z
Cd1 Cd 0.000 0.231 0.000
Hg1 Hg 0.500 0.332 0.561
As1 As 0.000 0.114 0.369
O1 O 0.500 0.390 0.889
```

ii | Entry from the Open Quantum Materials Database: a geometry-optimized CdHgAsO structure (PBE).

Cell and atoms, written as CIF:
```
data_CdHgAsO
_chemical_formula_sum 'Cd2 Hg2 As2 O2'
_cell_length_a 3.293
_cell_length_b 7.546
_cell_length_c 6.844
_cell_angle_alpha 90.00
_cell_angle_beta 90.00
_cell_angle_gamma 90.00
_symmetry_space_group_name_H-M 'P m c 21'
_symmetry_Int_Tables_number 26
loop_
_symmetry_equiv_pos_as_xyz
'x,y,z'
'-x,-y,z+1/2'
'-x,y,z'
'x,-y,z+1/2'
loop_
_atom_site_label
_atom_site_type_symbol
_atom_site_fract_x
_atom_site_fract_y
_atom_site_fract_z
Cd1 Cd 0.000 0.110 0.000
Hg1 Hg 0.500 0.330 0.411
As1 As 0.500 0.343 0.801
O1 O 0.000 0.126 0.316
```

Tell me which of them is the least stable. Sure, it is i.

i | Entry from the Open Quantum Materials Database: a geometry-optimized TeAuNO structure (PBE).

Cell and atoms, written as CIF:
```
data_TeAuNO
_chemical_formula_sum 'Te2 Au2 N2 O2'
_cell_length_a 3.319
_cell_length_b 7.505
_cell_length_c 6.247
_cell_angle_alpha 90.00
_cell_angle_beta 90.00
_cell_angle_gamma 90.00
_symmetry_space_group_name_H-M 'P m c 21'
_symmetry_Int_Tables_number 26
loop_
_symmetry_equiv_pos_as_xyz
'x,y,z'
'-x,-y,z+1/2'
'-x,y,z'
'x,-y,z+1/2'
loop_
_atom_site_label
_atom_site_type_symbol
_atom_site_fract_x
_atom_site_fract_y
_atom_site_fract_z
Te1 Te 0.000 0.179 0.000
Au1 Au 0.500 0.471 0.584
N1 N 0.500 0.318 0.855
O1 O 0.000 0.025 0.333
```

ii | Entry from the Open Quantum Materials Database: a geometry-optimized TeAuNO structure (PBE).

Cell and atoms, written as CIF:
```
data_TeAuNO
_chemical_formula_sum 'Te2 Au2 N2 O2'
_cell_length_a 4.441
_cell_length_b 4.441
_cell_length_c 7.013
_cell_angle_alpha 90.00
_cell_angle_beta 90.00
_cell_angle_gamma 90.00
_symmetry_space_group_name_H-M 'P 4/n m m'
_symmetry_Int_Tables_number 129
loop_
_symmetry_equiv_pos_as_xyz
'x,y,z'
'-x,-y,-z'
'-y+1/2,x,z'
'y+1/2,-x,-z'
'-x+1/2,-y+1/2,z'
'x+1/2,y+1/2,-z'
'y,-x+1/2,z'
'-y,x+1/2,-z'
'x+1/2,-y,-z'
'-x+1/2,y,z'
'-y,-x,-z'
'y,x,z'
'-x,y+1/2,-z'
'x,-y+1/2,z'
'y+1/2,x+1/2,-z'
'-y+1/2,-x+1/2,z'
loop_
_atom_site_label
_atom_site_type_symbol
_atom_site_fract_x
_atom_site_fract_y
_atom_site_fract_z
Te1 Te 0.250 0.750 0.000
Au1 Au 0.250 0.250 0.490
N1 N 0.250 0.250 0.002
O1 O 0.250 0.750 0.500
```

Tell me which of them is the least stable. Sure, it is ii.

i | Entry from the Open Quantum Materials Database: a geometry-optimized TmCuTe3Pb structure (PBE).

Cell and atoms, written as CIF:
```
data_TmCuTe3Pb
_chemical_formula_sum 'Tm4 Cu4 Te12 Pb4'
_cell_length_a 4.263
_cell_length_b 14.565
_cell_length_c 11.140
_cell_angle_alpha 90.00
_cell_angle_beta 90.00
_cell_angle_gamma 90.00
_symmetry_space_group_name_H-M 'C m c m'
_symmetry_Int_Tables_number 63
_symmetry_space_group_name_Hall '-C 2c 2'
loop_
_atom_site_label
_atom_site_type_symbol
_atom_site_fract_x
_atom_site_fract_y
_atom_site_fract_z
Tm1 Tm 0.000 0.000 0.000
Cu1 Cu 0.000 0.469 0.250
Te1 Te 0.000 0.082 0.250
Te2 Te 0.000 0.358 0.062
Pb1 Pb 0.000 0.238 0.750
```

ii | Entry from the Open Quantum Materials Database: a geometry-optimized TmCuTe3Pb structure (PBE).

Cell and atoms, written as CIF:
```
data_TmCuTe3Pb
_chemical_formula_sum 'Tm4 Cu4 Te12 Pb4'
_cell_length_a 19.691
_cell_length_b 4.305
_cell_length_c 8.668
_cell_angle_alpha 90.00
_cell_angle_beta 102.23
_cell_angle_gamma 90.00
_symmetry_space_group_name_H-M 'C 1 2/m 1'
_symmetry_Int_Tables_number 12
loop_
_symmetry_equiv_pos_as_xyz
'x,y,z'
'-x,-y,-z'
'-x,y,-z'
'x,-y,z'
'x+1/2,y+1/2,z'
'-x+1/2,-y+1/2,-z'
'-x+1/2,y+1/2,-z'
'x+1/2,-y+1/2,z'
loop_
_atom_site_label
_atom_site_type_symbol
_atom_site_fract_x
_atom_site_fract_y
_atom_site_fract_z
Tm1 Tm 0.159 0.000 0.082
Cu1 Cu 0.045 0.500 0.206
Te1 Te 0.000 0.000 0.000
Te2 Te 0.000 0.500 0.500
Te3 Te 0.178 0.500 0.332
Te4 Te 0.179 0.500 0.850
Pb1 Pb 0.124 0.000 0.569
```

Tell me which of them is the least stable. Sure, it is ii.

i | Entry from the Open Quantum Materials Database: a geometry-optimized YAuSO structure (PBE).

Cell and atoms, written as CIF:
```
data_YAuSO
_chemical_formula_sum 'Y2 Au2 S2 O2'
_cell_length_a 3.924
_cell_length_b 3.924
_cell_length_c 8.937
_cell_angle_alpha 90.00
_cell_angle_beta 90.00
_cell_angle_gamma 90.00
_symmetry_space_group_name_H-M 'P 4/n m m'
_symmetry_Int_Tables_number 129
loop_
_symmetry_equiv_pos_as_xyz
'x,y,z'
'-x,-y,-z'
'-y+1/2,x,z'
'y+1/2,-x,-z'
'-x+1/2,-y+1/2,z'
'x+1/2,y+1/2,-z'
'y,-x+1/2,z'
'-y,x+1/2,-z'
'x+1/2,-y,-z'
'-x+1/2,y,z'
'-y,-x,-z'
'y,x,z'
'-x,y+1/2,-z'
'x,-y+1/2,z'
'y+1/2,x+1/2,-z'
'-y+1/2,-x+1/2,z'
loop_
_atom_site_label
_atom_site_type_symbol
_atom_site_fract_x
_atom_site_fract_y
_atom_site_fract_z
Y1 Y 0.250 0.250 0.126
Au1 Au 0.250 0.750 0.500
S1 S 0.250 0.250 0.715
O1 O 0.250 0.750 0.000
```

ii | Entry from the Open Quantum Materials Database: a geometry-optimized YAuSO structure (PBE).

Cell and atoms, written as CIF:
```
data_YAuSO
_chemical_formula_sum 'Y2 Au2 S2 O2'
_cell_length_a 4.108
_cell_length_b 6.257
_cell_length_c 6.409
_cell_angle_alpha 90.00
_cell_angle_beta 90.00
_cell_angle_gamma 90.00
_symmetry_space_group_name_H-M 'P m c 21'
_symmetry_Int_Tables_number 26
loop_
_symmetry_equiv_pos_as_xyz
'x,y,z'
'-x,-y,z+1/2'
'-x,y,z'
'x,-y,z+1/2'
loop_
_atom_site_label
_atom_site_type_symbol
_atom_site_fract_x
_atom_site_fract_y
_atom_site_fract_z
Y1 Y 0.000 0.200 0.000
Au1 Au 0.500 0.288 0.626
S1 S 0.500 0.349 0.235
O1 O 0.000 0.079 0.685
```

Tell me which of them is the least stable. Sure, it is ii.

i | Entry from the Open Quantum Materials Database: a geometry-optimized CsScTc structure (PBE).

Cell and atoms, written as CIF:
```
data_CsScTc
_chemical_formula_sum 'Cs4 Sc4 Tc4'
_cell_length_a 6.934
_cell_length_b 6.934
_cell_length_c 6.934
_cell_angle_alpha 90.00
_cell_angle_beta 90.00
_cell_angle_gamma 90.00
_symmetry_space_group_name_H-M 'F -4 3 m'
_symmetry_Int_Tables_number 216
_symmetry_space_group_name_Hall 'F -4 2 3'
loop_
_atom_site_label
_atom_site_type_symbol
_atom_site_fract_x
_atom_site_fract_y
_atom_site_fract_z
Cs1 Cs 0.000 0.000 0.000
Sc1 Sc 0.250 0.250 0.250
Tc1 Tc 0.000 0.000 0.500
```

ii | Entry from the Open Quantum Materials Database: a geometry-optimized CsScTc structure (PBE).

Cell and atoms, written as CIF:
```
data_CsScTc
_chemical_formula_sum 'Cs4 Sc4 Tc4'
_cell_length_a 6.693
_cell_length_b 6.693
_cell_length_c 6.693
_cell_angle_alpha 90.00
_cell_angle_beta 90.00
_cell_angle_gamma 90.00
_symmetry_space_group_name_H-M 'F -4 3 m'
_symmetry_Int_Tables_number 216
_symmetry_space_group_name_Hall 'F -4 2 3'
loop_
_atom_site_label
_atom_site_type_symbol
_atom_site_fract_x
_atom_site_fract_y
_atom_site_fract_z
Cs1 Cs 0.000 0.000 0.000
Sc1 Sc 0.250 0.250 0.750
Tc1 Tc 0.250 0.250 0.250
```

Tell me which of them is the least stable. Sure, it is ii.

i | Entry from the Open Quantum Materials Database: a geometry-optimized TbTlCdTe3 structure (PBE).

Cell and atoms, written as CIF:
```
data_TbTlCdTe3
_chemical_formula_sum 'Tb2 Tl2 Cd2 Te6'
_cell_length_a 8.836
_cell_length_b 4.476
_cell_length_c 11.225
_cell_angle_alpha 90.00
_cell_angle_beta 107.69
_cell_angle_gamma 90.00
_symmetry_space_group_name_H-M 'P 1 21/m 1'
_symmetry_Int_Tables_number 11
loop_
_symmetry_equiv_pos_as_xyz
'x,y,z'
'-x,-y,-z'
'-x,y+1/2,-z'
'x,-y+1/2,z'
loop_
_atom_site_label
_atom_site_type_symbol
_atom_site_fract_x
_atom_site_fract_y
_atom_site_fract_z
Tb1 Tb 0.187 0.250 0.140
Tl1 Tl 0.246 0.750 0.721
Cd1 Cd 0.423 0.750 0.389
Te1 Te 0.055 0.250 0.855
Te2 Te 0.245 0.250 0.442
Te3 Te 0.435 0.750 0.141
```

ii | Entry from the Open Quantum Materials Database: a geometry-optimized TbTlCdTe3 structure (PBE).

Cell and atoms, written as CIF:
```
data_TbTlCdTe3
_chemical_formula_sum 'Tb4 Tl4 Cd4 Te12'
_cell_length_a 19.280
_cell_length_b 4.448
_cell_length_c 9.815
_cell_angle_alpha 90.00
_cell_angle_beta 103.58
_cell_angle_gamma 90.00
_symmetry_space_group_name_H-M 'C 1 2/m 1'
_symmetry_Int_Tables_number 12
loop_
_symmetry_equiv_pos_as_xyz
'x,y,z'
'-x,-y,-z'
'-x,y,-z'
'x,-y,z'
'x+1/2,y+1/2,z'
'-x+1/2,-y+1/2,-z'
'-x+1/2,y+1/2,-z'
'x+1/2,-y+1/2,z'
loop_
_atom_site_label
_atom_site_type_symbol
_atom_site_fract_x
_atom_site_fract_y
_atom_site_fract_z
Tb1 Tb 0.176 0.000 0.088
Tl1 Tl 0.136 0.000 0.572
Cd1 Cd 0.021 0.500 0.217
Te1 Te 0.000 0.000 0.000
Te2 Te 0.000 0.500 0.500
Te3 Te 0.162 0.500 0.863
Te4 Te 0.174 0.500 0.306
```

Tell me which of them is the least stable. Sure, it is ii.

i | Entry from the Open Quantum Materials Database: a geometry-optimized BaPtNO structure (PBE).

Cell and atoms, written as CIF:
```
data_BaPtNO
_chemical_formula_sum 'Ba2 Pt2 N2 O2'
_cell_length_a 3.718
_cell_length_b 6.325
_cell_length_c 6.123
_cell_angle_alpha 90.00
_cell_angle_beta 90.00
_cell_angle_gamma 90.00
_symmetry_space_group_name_H-M 'P m c 21'
_symmetry_Int_Tables_number 26
loop_
_symmetry_equiv_pos_as_xyz
'x,y,z'
'-x,-y,z+1/2'
'-x,y,z'
'x,-y,z+1/2'
loop_
_atom_site_label
_atom_site_type_symbol
_atom_site_fract_x
_atom_site_fract_y
_atom_site_fract_z
Ba1 Ba 0.000 0.184 0.000
Pt1 Pt 0.500 0.323 0.495
N1 N 0.000 0.348 0.517
O1 O 0.500 0.058 0.288
```

ii | Entry from the Open Quantum Materials Database: a geometry-optimized BaPtNO structure (PBE).

Cell and atoms, written as CIF:
```
data_BaPtNO
_chemical_formula_sum 'Ba4 Pt4 N4 O4'
_cell_length_a 6.641
_cell_length_b 7.719
_cell_length_c 5.380
_cell_angle_alpha 90.00
_cell_angle_beta 90.00
_cell_angle_gamma 90.00
_symmetry_space_group_name_H-M 'P c a 21'
_symmetry_Int_Tables_number 29
loop_
_symmetry_equiv_pos_as_xyz
'x,y,z'
'-x,-y,z+1/2'
'-x+1/2,y,z+1/2'
'x+1/2,-y,z'
loop_
_atom_site_label
_atom_site_type_symbol
_atom_site_fract_x
_atom_site_fract_y
_atom_site_fract_z
Ba1 Ba 0.073 0.179 0.000
Pt1 Pt 0.150 0.615 0.981
N1 N 0.142 0.481 0.302
O1 O 0.021 0.153 0.517
```

Tell me which of them is the least stable. Sure, it is ii.

i | Entry from the Open Quantum Materials Database: a geometry-optimized ZrAgNO structure (PBE).

Cell and atoms, written as CIF:
```
data_ZrAgNO
_chemical_formula_sum 'Zr4 Ag4 N4 O4'
_cell_length_a 5.189
_cell_length_b 7.337
_cell_length_c 5.881
_cell_angle_alpha 90.00
_cell_angle_beta 90.00
_cell_angle_gamma 90.00
_symmetry_space_group_name_H-M 'P c a 21'
_symmetry_Int_Tables_number 29
loop_
_symmetry_equiv_pos_as_xyz
'x,y,z'
'-x,-y,z+1/2'
'-x+1/2,y,z+1/2'
'x+1/2,-y,z'
loop_
_atom_site_label
_atom_site_type_symbol
_atom_site_fract_x
_atom_site_fract_y
_atom_site_fract_z
Zr1 Zr 0.207 0.161 0.000
Ag1 Ag 0.213 0.601 0.937
N1 N 0.082 0.322 0.738
O1 O 0.000 0.064 0.294
```

ii | Entry from the Open Quantum Materials Database: a geometry-optimized ZrAgNO structure (PBE).

Cell and atoms, written as CIF:
```
data_ZrAgNO
_chemical_formula_sum 'Zr2 Ag2 N2 O2'
_cell_length_a 3.510
_cell_length_b 3.510
_cell_length_c 8.039
_cell_angle_alpha 90.00
_cell_angle_beta 90.00
_cell_angle_gamma 90.00
_symmetry_space_group_name_H-M 'P 4/n m m'
_symmetry_Int_Tables_number 129
loop_
_symmetry_equiv_pos_as_xyz
'x,y,z'
'-x,-y,-z'
'-y+1/2,x,z'
'y+1/2,-x,-z'
'-x+1/2,-y+1/2,z'
'x+1/2,y+1/2,-z'
'y,-x+1/2,z'
'-y,x+1/2,-z'
'x+1/2,-y,-z'
'-x+1/2,y,z'
'-y,-x,-z'
'y,x,z'
'-x,y+1/2,-z'
'x,-y+1/2,z'
'y+1/2,x+1/2,-z'
'-y+1/2,-x+1/2,z'
loop_
_atom_site_label
_atom_site_type_symbol
_atom_site_fract_x
_atom_site_fract_y
_atom_site_fract_z
Zr1 Zr 0.250 0.250 0.159
Ag1 Ag 0.250 0.750 0.500
N1 N 0.250 0.250 0.735
O1 O 0.250 0.750 0.000
```

Tell me which of them is the least stable. Sure, it is ii.